Below is a relaxed ZrP2Rh crystal, with properties calculated at the PBE level.

Results
Its crystal system is tetragonal. Its space group is P4/mmm, No. 123. The value obtained for the formation energy from the elements is -0.433 eV/atom.

a = 3.1358 Å, b = 3.1358 Å, c = 6.2333 Å
α = 90.00°, β = 90.00°, γ = 90.00°
With the nearest neighbours (Å) after each atom.
Fractional positions:
Zr 0.0000 0.0000 0.0000  8 P 2.77
P 0.5000 0.5000 0.2667  4 Rh 2.65, 4 Zr 2.77, 1 P 2.91
P 0.5000 0.5000 0.7333  4 Rh 2.65, 4 Zr 2.77, 1 P 2.91
Rh 0.0000 0.0000 0.5000  8 P 2.65


Below is a relaxed Zr2Ag2N crystal, with properties calculated at the PBE level.

Results
Its crystal system is tetragonal. Its space group is I4/mmm, No. 139. The calculation puts the formation energy from raw total energies at 1.366 eV/atom.

a = 7.4456 Å, b = 7.4456 Å, c = 7.4456 Å
α = 149.02°, β = 149.02°, γ = 44.39°
With the nearest neighbours (Å) after each atom.
Fractional positions:
Zr 0.2500 0.7500 0.5000  4 Zr 2.81, 4 Ag 2.92
Zr 0.7500 0.2500 0.5000  4 Zr 2.81, 4 Ag 2.92
Ag 0.0948 0.0948 0.0000  1 Ag 2.61, 4 Zr 2.92
Ag 0.9052 0.9052 0.0000  1 Ag 2.61, 4 Zr 2.92
N 0.5000 0.5000 0.0000  8 Ag 3.10


Below is a relaxed Al2Cl crystal, with properties calculated at the PBE level.

Results
Its crystal system is hexagonal. Its space group is P6/mmm, No. 191. The calculation puts the formation energy from raw total energies at 0.183 eV/atom.

a = 4.5202 Å, b = 4.5202 Å, c = 4.3040 Å
α = 90.00°, β = 90.00°, γ = 120.00°
With the nearest neighbours (Å) after each atom.
Fractional positions:
Al 0.3333 0.6667 0.0000  3 Al 2.61
Al 0.6667 0.3333 0.0000  3 Al 2.61
Cl 0.0000 0.0000 0.5000  12 Al 3.38


Below is a relaxed PrHoTlNi crystal, with properties calculated at the PBE level.

Results
Its crystal system is cubic. Its space group is F-43m, No. 216. The value obtained for the formation energy from the elements is -0.194 eV/atom.

a = 5.2150 Å, b = 5.2150 Å, c = 5.2150 Å
α = 60.00°, β = 60.00°, γ = 60.00°
With the nearest neighbours (Å) after each atom.
Fractional positions:
Pr 0.0000 0.0000 0.0000  4 Ni 3.19, 4 Tl 3.19
Ho 0.5000 0.5000 0.5000  4 Tl 3.19, 4 Ni 3.19
Tl 0.2500 0.2500 0.2500  4 Ho 3.19, 4 Pr 3.19
Ni 0.7500 0.7500 0.7500  4 Ho 3.19, 4 Pr 3.19


Below is a relaxed KRbSCl2 crystal, with properties calculated at the PBE level.

Results
Its crystal system is tetragonal. Its space group is P4/mmm, No. 123. The calculation puts the formation energy from raw total energies at -0.761 eV/atom.

a = 5.9597 Å, b = 5.9597 Å, c = 5.8384 Å
α = 90.00°, β = 90.00°, γ = 90.00°
With the nearest neighbours (Å) after each atom.
Fractional positions:
K 0.0000 0.0000 0.0000  2 S 2.92, 4 Cl 2.98
Rb 0.5000 0.5000 0.5000  8 Cl 4.17, 4 S 4.21
S 0.0000 0.0000 0.5000  2 K 2.92
Cl 0.0000 0.5000 0.0000  2 K 2.98
Cl 0.5000 0.0000 0.0000  2 K 2.98


Below is a relaxed Ac2Ni5P4 crystal, with properties calculated at the PBE level.

Results
Its crystal system is orthorhombic. Its space group is Fmmm, No. 69. The value obtained for the formation energy from the elements is -0.750 eV/atom.

a = 8.1081 Å, b = 6.8898 Å, c = 5.8265 Å
α = 78.74°, β = 56.45°, γ = 44.81°
With the nearest neighbours (Å) after each atom.
Fractional positions:
Ac 0.1432 0.1432 0.8568  10 Ni 3.21-3.43, 8 P 3.25-3.48
Ac 0.8568 0.8568 0.1432  10 Ni 3.21-3.43, 8 P 3.25-3.48
Ni 0.0000 0.0000 0.5000  4 P 2.31
Ni 0.2500 0.2500 0.2500  4 P 2.28
Ni 0.5000 0.5000 0.0000  4 P 2.31
Ni 0.5000 0.5000 0.5000  4 P 2.28
Ni 0.7500 0.7500 0.7500  4 P 2.28
P 0.2133 0.5331 0.4669  5 Ni 2.28-2.31
P 0.4669 0.7867 0.2133  5 Ni 2.28-2.31
P 0.5331 0.2133 0.7867  5 Ni 2.28-2.31
P 0.7867 0.4669 0.5331  5 Ni 2.28-2.31


Number 1: spin magnetization 0.00 μB per atom. Number 2: spin magnetization 0.25 μB per atom. Number 3: spin magnetization 0.00 μB per atom. Number 4: spin magnetization 0.00 μB per atom. Number 5: spin magnetization 0.41 μB per atom. Number 6: spin magnetization 0.00 μB per atom.